[1]
Th6Tl2Os GGA-PBE relaxed; energy of formation from the pure elements = -171 kJ/mol of formula units; N(E_F) = 1.066 states/eV per atom; SG = P-62m (189)
1.0
8.947 0.000 0.000
-4.473 7.748 0.000
0.000 0.000 3.820
Th Tl Os
6 2 1
Direct
0.000 0.392 0.000
0.000 0.756 0.500
0.244 0.244 0.500
0.392 0.000 0.000
0.608 0.608 0.000
0.756 0.000 0.500
0.333 0.667 0.500
0.667 0.333 0.500
0.000 0.000 0.000

---

[2]
LaPr6Sm8 GGA-PBE relaxed; energy of formation from the pure elements = 200 kJ/mol of formula units; N(E_F) = 1.694 states/eV per atom; SG = P-3 (147)
1.0
10.073 0.000 0.000
-5.036 8.723 0.000
0.000 0.000 6.050
La Pr Sm
1 6 8
Direct
0.000 0.000 0.000
0.091 0.623 0.241
0.377 0.468 0.241
0.468 0.091 0.759
0.532 0.909 0.241
0.623 0.532 0.759
0.909 0.377 0.759
0.052 0.782 0.723
0.218 0.270 0.723
0.270 0.052 0.277
0.333 0.667 0.722
0.667 0.333 0.278
0.730 0.948 0.723
0.782 0.730 0.277
0.948 0.218 0.277